A relaxed YPa crystal. Source: OQMD via LeMat-Bulk, functional PBE.

Lattice parameters (Å, degrees): 4.521 4.521 4.521 60.00 60.00 60.00
Positions (direct):
Pa 0.000 0.000 0.000
Y 0.250 0.250 0.250

Results
As for the crystal system: cubic. For the relative energy among the computed polymorphs, the calculation gives 2.1342 eV/atom. The formation energy is 2.343 eV/atom.


A relaxed ZnW crystal. Source: OQMD via LeMat-Bulk, functional PBE.

Lattice parameters (Å, degrees): 4.927 5.428 4.492 90.00 90.00 90.00
Positions (direct):
W 0.004 0.493 0.000
W 0.504 0.757 0.000
W 0.830 0.257 0.500
W 0.330 0.993 0.500
Zn 0.505 0.255 0.000
Zn 0.005 0.995 0.000
Zn 0.328 0.495 0.500
Zn 0.828 0.755 0.500

Results
As for the crystal system: orthorhombic. For the relative energy among the computed polymorphs, the calculation gives 0.0773 eV/atom. The formation energy is 0.300 eV/atom.